1.
! Mg2PPd4Pt2, relaxed, DFT PBE; values from VASP
! Energy of formation = -0.6197 eV/atom
! Uncorrected energy = -5.23 eV/atom
! Total moment = 0.000 μB per atom
&SYSTEM
  ibrav = 0, nat = 9, ntyp = 4
/
ATOMIC_SPECIES
Mg 24.30 Mg.upf
P 30.97 P.upf
Pd 106.42 Pd.upf
Pt 195.08 Pt.upf
CELL_PARAMETERS angstrom
-2.9725 2.9725 4.1787
2.9725 -2.9725 4.1787
2.9725 2.9725 -4.1787
ATOMIC_POSITIONS crystal
Mg 0.2500 0.7500 0.5000
Mg 0.7500 0.2500 0.5000
P 0.0000 0.0000 0.0000
Pd 0.2657 0.2657 0.5314
Pd 0.2657 0.7343 0.0000
Pd 0.7343 0.2657 0.0000
Pd 0.7343 0.7343 0.4686
Pt 0.2654 0.2654 0.0000
Pt 0.7346 0.7346 0.0000



2.
! PuMgP2Pd2, relaxed, DFT PBE; values from VASP
! Energy of formation = -0.8059 eV/atom
! Uncorrected energy = -6.99 eV/atom
! Total moment = 0.767 μB per atom
&SYSTEM
  ibrav = 0, nat = 6, ntyp = 4
/
ATOMIC_SPECIES
Pu 244.00 Pu.upf
Mg 24.30 Mg.upf
P 30.97 P.upf
Pd 106.42 Pd.upf
CELL_PARAMETERS angstrom
4.1268 0.0000 0.0000
-2.0634 3.5739 0.0000
0.0000 0.0000 7.0225
ATOMIC_POSITIONS crystal
Pu 0.0000 0.0000 0.0000
Mg 0.0000 0.0000 0.5000
P 0.3333 0.6667 0.2309
P 0.6667 0.3333 0.7691
Pd 0.3333 0.6667 0.6877
Pd 0.6667 0.3333 0.3123



3.
! MgP2PdS, relaxed, DFT PBE; values from VASP
! Energy above the most stable polymorph in this dataset = 457 meV/atom
! Uncorrected energy = -3.45 eV/atom
! Total moment = 0.000 μB per atom
! Formation energy (no corrections) = 0.894 eV per atom
&SYSTEM
  ibrav = 0, nat = 5, ntyp = 4
/
ATOMIC_SPECIES
Mg 24.30 Mg.upf
P 30.97 P.upf
Pd 106.42 Pd.upf
S 32.06 S.upf
CELL_PARAMETERS angstrom
4.7380 0.0000 0.0000
0.0000 4.7380 0.0000
0.0000 0.0000 4.6451
ATOMIC_POSITIONS crystal
Mg 0.0000 0.0000 0.0000
P 0.0000 0.5000 0.0000
P 0.5000 0.0000 0.0000
Pd 0.5000 0.5000 0.5000
S 0.0000 0.0000 0.5000